1.
## TaTcGe (PBE)

Data for a relaxed TaTcGe crystal.

Cell: 6.0541 6.0541 6.0541 Å, 90.00 90.00 90.00°
Space group F-43m (No. 216)
Asymmetric unit:
Ta: 0.0000 0.0000 0.0000 x4
Tc: 0.2500 0.2500 0.7500 x4
Ge: 0.0000 0.0000 0.5000 x4

Excess energy over the best structure of this formula in the dataset (meV/atom): 0
Spin magnetization (μB per formula unit): 0.054

2.
## HfTlCd (PBE)

Data for a relaxed HfTlCd crystal.

Cell: 6.7241 6.7241 6.7241 Å, 90.00 90.00 90.00°
Space group F-43m (No. 216)
Asymmetric unit:
Hf: 0.0000 0.0000 0.0000 x4
Tl: 0.2500 0.2500 0.7500 x4
Cd: 0.0000 0.0000 0.5000 x4

Calculated total energy (eV per atom): -3.912
Spin magnetization (μB per formula unit): 0.038

3.
## CdSnTe (PBE)

Data for a relaxed CdSnTe crystal.

Cell: 9.7674 4.4553 8.5888 Å, 90.00 90.00 90.00°
Space group Pnma (No. 62)
Asymmetric unit:
Cd: 0.0088 0.2500 0.2147 x4
Sn: 0.1217 0.2500 0.5500 x4
Te: 0.1859 0.2500 0.9361 x4

Excess energy over the best structure of this formula in the dataset (meV/atom): 0

4.
## CdAs2O (PBE)

Data for a relaxed CdAs2O crystal.

Cell: 4.5209 4.5209 8.0921 Å, 90.00 90.00 90.00°
Space group P4/nmm (No. 129, origin choice 2)
Asymmetric unit:
Cd: 0.2500 0.2500 0.0334 x2
As: 0.2500 0.2500 0.6549 x2
As: 0.2500 0.7500 0.5000 x2
O: 0.2500 0.7500 0.0000 x2

Excess energy over the best structure of this formula in the dataset (meV/atom): 177

5.
## GdHoCu2Pb (PBE)

Data for a relaxed GdHoCu2Pb crystal.

Cell: 3.6832 4.2284 14.0733 Å, 90.00 90.00 90.00°
Space group Amm2 (No. 38)
Asymmetric unit:
Gd: 0.0000 0.0000 0.0000 x2
Ho: 0.0000 0.0000 0.7299 x2
Cu: 0.5000 0.0000 0.1630 x2
Cu: 0.5000 0.0000 0.5701 x2
Pb: 0.5000 0.0000 0.3645 x2

Calculated total energy (eV per atom): -4.450
Spin magnetization (μB per formula unit): 0.005

6.
## DyTmCl2O2 (PBE)

Data for a relaxed DyTmCl2O2 crystal.

Cell: 3.7673 3.7673 7.5622 Å, 90.00 90.00 90.00°
Space group P4mm (No. 99)
Asymmetric unit:
Dy: 0.0000 0.0000 0.0000 x1
Tm: 0.5000 0.5000 0.3028 x1
Cl: 0.0000 0.0000 0.4965 x1
Cl: 0.5000 0.5000 0.8110 x1
O: 0.0000 0.5000 0.1561 x2

Calculated total energy (eV per atom): -6.857
Spin magnetization (μB per formula unit): 0.002